This record from Alexandria via LeMat-Bulk describes a relaxed HfTl3Tc crystal. The functional is GGA-PBE.

Lattice parameters (Å, degrees): 5.5423 5.5423 5.5423 90.00 90.00 90.00
With the nearest neighbours (Å) after each atom.
Fractional coordinates of all 5 atoms:
Hf (0.0000, 0.0000, 0.0000)  6 Tl 2.77
Tl (0.0000, 0.0000, 0.5000)  2 Hf 2.77
Tl (0.0000, 0.5000, 0.0000)  2 Hf 2.77
Tl (0.5000, 0.0000, 0.0000)  2 Hf 2.77
Tc (0.5000, 0.5000, 0.5000)  12 Tl 3.92

Size of the total moment in μB/f.u.: 3.8
Energy in eV per atom: -4.055


This record from Alexandria via LeMat-Bulk describes a relaxed SrPd2Au crystal. The functional is GGA-PBE.

Lattice parameters (Å, degrees): 4.8522 4.8522 4.8522 60.00 60.00 60.00
With the nearest neighbours (Å) after each atom.
Fractional coordinates of all 4 atoms:
Sr (0.0000, 0.0000, 0.0000)  8 Pd 2.97
Pd (0.2500, 0.2500, 0.2500)  4 Sr 2.97, 4 Au 2.97
Pd (0.7500, 0.7500, 0.7500)  4 Sr 2.97, 4 Au 2.97
Au (0.5000, 0.5000, 0.5000)  8 Pd 2.97

Size of the total moment in μB/f.u.: 0.0
Energy in eV per atom: -4.231


This record from Alexandria via LeMat-Bulk describes a relaxed AlBiAu crystal. The functional is GGA-PBE.

Lattice parameters (Å, degrees): 4.2608 4.2608 7.4117 90.00 90.00 90.00
With the nearest neighbours (Å) after each atom.
Fractional coordinates of all 6 atoms:
Al (0.2500, 0.7500, 0.0000)  4 Au 2.62
Al (0.7500, 0.2500, 0.0000)  4 Au 2.62
Bi (0.2500, 0.2500, 0.3812)  5 Au 3.07-3.28
Bi (0.7500, 0.7500, 0.6188)  5 Au 3.07-3.28
Au (0.2500, 0.2500, 0.7949)  4 Al 2.62
Au (0.7500, 0.7500, 0.2051)  4 Al 2.62

Size of the total moment in μB/f.u.: 0.0
Energy in eV per atom: -3.825


This record from Alexandria via LeMat-Bulk describes a relaxed TmTh3 crystal. The functional is GGA-PBE.

Lattice parameters (Å, degrees): 9.6756 9.6756 9.6756 43.18 43.18 43.18
With the nearest neighbours (Å) after each atom.
Fractional coordinates of all 12 atoms:
Tm (0.0000, 0.0000, 0.0000)  12 Th 3.55-3.56
Tm (0.2231, 0.2231, 0.2231)  12 Th 3.55-3.57
Tm (0.7769, 0.7769, 0.7769)  12 Th 3.55-3.57
Th (0.0000, 0.5000, 0.5000)  4 Tm 3.55-3.56, 8 Th 3.56-3.58
Th (0.2167, 0.7250, 0.7250)  8 Th 3.50-3.62, 4 Tm 3.55-3.57
Th (0.2750, 0.2750, 0.7833)  8 Th 3.50-3.62, 4 Tm 3.55-3.57
Th (0.2750, 0.7833, 0.2750)  8 Th 3.50-3.62, 4 Tm 3.55-3.57
Th (0.5000, 0.0000, 0.5000)  4 Tm 3.55-3.56, 8 Th 3.56-3.58
Th (0.5000, 0.5000, 0.0000)  4 Tm 3.55-3.56, 8 Th 3.56-3.58
Th (0.7250, 0.2167, 0.7250)  8 Th 3.50-3.62, 4 Tm 3.55-3.57
Th (0.7250, 0.7250, 0.2167)  8 Th 3.50-3.62, 4 Tm 3.55-3.57
Th (0.7833, 0.2750, 0.2750)  8 Th 3.50-3.62, 4 Tm 3.55-3.57

Size of the total moment in μB/f.u.: 0.0
Energy in eV per atom: -6.620


This record from Alexandria via LeMat-Bulk describes a relaxed BaLiNiGe2 crystal. The functional is GGA-PBE.

Lattice parameters (Å, degrees): 4.6896 4.6896 4.9565 90.00 90.00 90.00
With the nearest neighbours (Å) after each atom.
Fractional coordinates of all 5 atoms:
Ba (0.0000, 0.0000, 0.0000)  4 Li 3.32, 8 Ge 3.41
Li (0.5000, 0.5000, 0.0000)  2 Ni 2.48
Ni (0.5000, 0.5000, 0.5000)  4 Ge 2.34, 2 Li 2.48
Ge (0.0000, 0.5000, 0.5000)  2 Ni 2.34
Ge (0.5000, 0.0000, 0.5000)  2 Ni 2.34

Size of the total moment in μB/f.u.: 0.0
Energy in eV per atom: -4.048


This record from Alexandria via LeMat-Bulk describes a relaxed K2LaAgF6 crystal. The functional is GGA-PBE.

Lattice parameters (Å, degrees): 6.4133 6.5748 11.0389 90.00 122.81 90.00
With the nearest neighbours (Å) after each atom.
Fractional coordinates of all 20 atoms:
K (0.2164, 0.0516, 0.2410)  5 F 2.67-2.84
K (0.2164, 0.4484, 0.7410)  5 F 2.67-2.84
K (0.7836, 0.5516, 0.2590)  5 F 2.67-2.84
K (0.7836, 0.9484, 0.7590)  5 F 2.67-2.84
La (0.5000, 0.0000, 0.0000)  6 F 2.32-2.34
La (0.5000, 0.5000, 0.5000)  6 F 2.32-2.34
Ag (0.0000, 0.0000, 0.5000)  6 F 2.44-2.66
Ag (0.0000, 0.5000, 0.0000)  6 F 2.44-2.66
F (0.1578, 0.1977, 0.9475)  1 La 2.34, 1 Ag 2.44
F (0.1578, 0.3023, 0.4475)  1 La 2.34, 1 Ag 2.44
F (0.2297, 0.7224, 0.9235)  1 La 2.34, 1 Ag 2.52
F (0.2297, 0.7776, 0.4235)  1 La 2.34, 1 Ag 2.52
F (0.3902, 0.0638, 0.7653)  1 La 2.32
F (0.3902, 0.4362, 0.2653)  1 La 2.32
F (0.6098, 0.5638, 0.7347)  1 La 2.32
F (0.6098, 0.9362, 0.2347)  1 La 2.32
F (0.7703, 0.2224, 0.5765)  1 La 2.34, 1 Ag 2.52
F (0.7703, 0.2776, 0.0765)  1 La 2.34, 1 Ag 2.52
F (0.8422, 0.6977, 0.5525)  1 La 2.34, 1 Ag 2.44
F (0.8422, 0.8023, 0.0525)  1 La 2.34, 1 Ag 2.44

Size of the total moment in μB/f.u.: 0.0
Energy relative to the elements, uncorrected in eV per atom: -2.943
Energy in eV per atom: -5.063


Please write out number 6 again, unchanged.
This record from Alexandria via LeMat-Bulk describes a relaxed K2LaAgF6 crystal. The functional is GGA-PBE.

Lattice parameters (Å, degrees): 6.4133 6.5748 11.0389 90.00 122.81 90.00
With the nearest neighbours (Å) after each atom.
Fractional coordinates of all 20 atoms:
K (0.2164, 0.0516, 0.2410)  5 F 2.67-2.84
K (0.2164, 0.4484, 0.7410)  5 F 2.67-2.84
K (0.7836, 0.5516, 0.2590)  5 F 2.67-2.84
K (0.7836, 0.9484, 0.7590)  5 F 2.67-2.84
La (0.5000, 0.0000, 0.0000)  6 F 2.32-2.34
La (0.5000, 0.5000, 0.5000)  6 F 2.32-2.34
Ag (0.0000, 0.0000, 0.5000)  6 F 2.44-2.66
Ag (0.0000, 0.5000, 0.0000)  6 F 2.44-2.66
F (0.1578, 0.1977, 0.9475)  1 La 2.34, 1 Ag 2.44
F (0.1578, 0.3023, 0.4475)  1 La 2.34, 1 Ag 2.44
F (0.2297, 0.7224, 0.9235)  1 La 2.34, 1 Ag 2.52
F (0.2297, 0.7776, 0.4235)  1 La 2.34, 1 Ag 2.52
F (0.3902, 0.0638, 0.7653)  1 La 2.32
F (0.3902, 0.4362, 0.2653)  1 La 2.32
F (0.6098, 0.5638, 0.7347)  1 La 2.32
F (0.6098, 0.9362, 0.2347)  1 La 2.32
F (0.7703, 0.2224, 0.5765)  1 La 2.34, 1 Ag 2.52
F (0.7703, 0.2776, 0.0765)  1 La 2.34, 1 Ag 2.52
F (0.8422, 0.6977, 0.5525)  1 La 2.34, 1 Ag 2.44
F (0.8422, 0.8023, 0.0525)  1 La 2.34, 1 Ag 2.44

Size of the total moment in μB/f.u.: 0.0
Energy relative to the elements, uncorrected in eV per atom: -2.943
Energy in eV per atom: -5.063


What did the sixth record say?
This record from Alexandria via LeMat-Bulk describes a relaxed K2LaAgF6 crystal. The functional is GGA-PBE.

Lattice parameters (Å, degrees): 6.4133 6.5748 11.0389 90.00 122.81 90.00
With the nearest neighbours (Å) after each atom.
Fractional coordinates of all 20 atoms:
K (0.2164, 0.0516, 0.2410)  5 F 2.67-2.84
K (0.2164, 0.4484, 0.7410)  5 F 2.67-2.84
K (0.7836, 0.5516, 0.2590)  5 F 2.67-2.84
K (0.7836, 0.9484, 0.7590)  5 F 2.67-2.84
La (0.5000, 0.0000, 0.0000)  6 F 2.32-2.34
La (0.5000, 0.5000, 0.5000)  6 F 2.32-2.34
Ag (0.0000, 0.0000, 0.5000)  6 F 2.44-2.66
Ag (0.0000, 0.5000, 0.0000)  6 F 2.44-2.66
F (0.1578, 0.1977, 0.9475)  1 La 2.34, 1 Ag 2.44
F (0.1578, 0.3023, 0.4475)  1 La 2.34, 1 Ag 2.44
F (0.2297, 0.7224, 0.9235)  1 La 2.34, 1 Ag 2.52
F (0.2297, 0.7776, 0.4235)  1 La 2.34, 1 Ag 2.52
F (0.3902, 0.0638, 0.7653)  1 La 2.32
F (0.3902, 0.4362, 0.2653)  1 La 2.32
F (0.6098, 0.5638, 0.7347)  1 La 2.32
F (0.6098, 0.9362, 0.2347)  1 La 2.32
F (0.7703, 0.2224, 0.5765)  1 La 2.34, 1 Ag 2.52
F (0.7703, 0.2776, 0.0765)  1 La 2.34, 1 Ag 2.52
F (0.8422, 0.6977, 0.5525)  1 La 2.34, 1 Ag 2.44
F (0.8422, 0.8023, 0.0525)  1 La 2.34, 1 Ag 2.44

Size of the total moment in μB/f.u.: 0.0
Energy relative to the elements, uncorrected in eV per atom: -2.943
Energy in eV per atom: -5.063


> Which value of size of the total moment does entry 4 give?

0.0 μB/f.u.


> Look up the size of the total moment of the fourth one.

0.0 μB/f.u.